(1)
DFT (PBE) results for a relaxed structure of CePHOs.

Cell lengths 4.0404, 4.0404, 7.4184 Å; angles 90.00, 90.00, 90.00 degrees
Atoms (fractional coordinates):
Ce 0.2500 0.2500 0.1727
Ce 0.7500 0.7500 0.8273
P 0.2500 0.2500 0.6702
P 0.7500 0.7500 0.3298
H 0.2500 0.7500 0.0000
H 0.7500 0.2500 0.0000
Os 0.2500 0.7500 0.5000
Os 0.7500 0.2500 0.5000

Calculated values
calculated volume = 15.14 Å³ per atom
electronic total energy = -7.272 eV per atom
theoretical density = 9.9 Mg/m³
space group = No. 129



(2)
DFT (PBE) results for a relaxed structure of MnReW.

Cell lengths 4.3601, 4.3601, 2.6544 Å; angles 90.00, 90.00, 120.00 degrees
Atoms (fractional coordinates):
Mn 0.0000 0.0000 0.0000
Re 0.6667 0.3333 0.3568
W 0.3333 0.6667 0.6800

Calculated values
calculated volume = 14.57 Å³ per atom
energy above the most stable polymorph in this dataset = 0.000 eV per atom
theoretical density = 16.1 Mg/m³
formation energy = 0.08 eV per atom
space group = No. 156



(3)
DFT (PBE) results for a relaxed structure of Ba2LiRhI.

Cell lengths 6.0328, 6.0328, 4.8922 Å; angles 90.00, 90.00, 90.00 degrees
Atoms (fractional coordinates):
Ba 0.0000 0.5000 0.0000
Ba 0.5000 0.0000 0.0000
Li 0.0000 0.0000 0.5000
Rh 0.0000 0.0000 0.0000
I 0.5000 0.5000 0.5000

Calculated values
calculated volume = 35.61 Å³ per atom
raw formation energy = -0.5401 eV/atom
theoretical density = 4.8 Mg/m³
space group = No. 123



(4)
DFT (PBE) results for a relaxed structure of SrH2SN.

Cell lengths 4.3124, 4.3124, 6.1114 Å; angles 90.00, 90.00, 90.00 degrees
Atoms (fractional coordinates):
Sr 0.0000 0.0000 0.0000
H 0.0000 0.5000 0.0000
H 0.5000 0.0000 0.0000
S 0.0000 0.0000 0.5000
N 0.5000 0.5000 0.5000

Calculated values
calculated volume = 22.73 Å³ per atom
energy above the most stable polymorph in this dataset = 1.045 eV per atom
theoretical density = 2.0 Mg/m³
space group = No. 123